A geometry-optimized Sr2AcMnO5 structure, computed with GGA+U.

Output
ρ: 6.49 Mg/m³
E_tot: -6.88 eV/atom
DOS(E_F): 0.62 states/eV/atom

a = 6.8307 Å, b = 6.8307 Å, c = 7.6152 Å
α = 116.65°, β = 116.65°, γ = 90.00°
With the nearest neighbours (Å) after each atom.
Sites, in units of the cell vectors:
1 Sr 0.1705 0.3295 0.0000  4 O 2.44-2.53
2 Sr 0.6705 0.1705 0.0000  4 O 2.44-2.53
3 Sr 0.3295 0.8295 0.0000  4 O 2.44-2.53
4 Sr 0.8295 0.6705 0.0000  4 O 2.44-2.53
5 Ac 0.2500 0.2500 0.5000  10 O 2.86-2.94
6 Ac 0.7500 0.7500 0.5000  10 O 2.86-2.94
7 Mn 0.2500 0.7500 0.5000  4 O 1.90
8 Mn 0.7500 0.2500 0.5000  4 O 1.90
9 O 0.9954 0.4954 0.2961  1 Mn 1.90
10 O 0.6994 0.1994 0.7039  1 Mn 1.90
11 O 0.0046 0.5046 0.7039  1 Mn 1.90
12 O 0.1994 0.0046 0.7039  1 Mn 1.90
13 O 0.5046 0.6994 0.7039  1 Mn 1.90
14 O 0.8006 0.9954 0.2961  1 Mn 1.90
15 O 0.4954 0.3006 0.2961  1 Mn 1.90
16 O 0.3006 0.8006 0.2961  1 Mn 1.90
17 O 0.5000 0.5000 0.0000  4 Sr 2.53
18 O 0.0000 0.0000 0.0000  4 Sr 2.53